i) Density functional theory data (GGA-PBE) for crystalline HoTiSn at its relaxed geometry.

The value obtained for the density of states at the Fermi level is 0.79 states/eV/atom. The spin magnetization is 0.8 Bohr magnetons per cell. The crystal system is tetragonal.

The structure belongs to space group P4/nmm (No. 129, origin choice 2); the cell edges are 4.2599, 4.2599 and 7.9041 Å and the angles 90.00°, 90.00° and 90.00°. The inequivalent atoms are Ho at (0.2500, 0.2500, 0.1623), Ti at (0.2500, 0.7500, 0.5000) and Sn at (0.2500, 0.2500, 0.7524).

***

ii) Density functional theory data (GGA-PBE) for crystalline HoTiSn at its relaxed geometry.

The value obtained for the density of states at the Fermi level is 1.58 states/eV/atom. The spin magnetization is 1.9 Bohr magnetons per cell. The crystal system is trigonal.

The structure belongs to space group P3m1 (No. 156); the cell edges are 4.9311, 4.9311 and 3.4034 Å and the angles 90.00°, 90.00° and 120.00°. The inequivalent atoms are Ho at (0.0000, 0.0000, 0.0000), Ti at (0.6667, 0.3333, 0.4987) and Sn at (0.3333, 0.6667, 0.5009).

***

iii) Density functional theory data (GGA-PBE) for crystalline HoTiSn at its relaxed geometry.

The value obtained for the density of states at the Fermi level is 1.75 states/eV/atom. The spin magnetization is 1.3 Bohr magnetons per cell. The crystal system is tetragonal.

The structure belongs to space group I4mm (No. 107); the cell edges are 3.6430, 3.6430 and 10.4655 Å and the angles 90.00°, 90.00° and 90.00°. The inequivalent atoms are Ho at (0.0000, 0.0000, 0.0000), Ti at (0.0000, 0.0000, 0.6767) and Sn at (0.0000, 0.0000, 0.3115).

***

Of them, ii) has the lowest stability.

***

i) Density functional theory data (GGA-PBE) for crystalline HoTlSn2 at its relaxed geometry.

The value obtained for the density of states at the Fermi level is 1.18 states/eV/atom. The spin magnetization is 0.0 Bohr magnetons per cell. The crystal system is trigonal.

The structure belongs to space group R-3m (No. 166, hexagonal axes); the cell edges are 5.4327, 5.4327 and 13.2582 Å and the angles 90.00°, 90.00° and 120.00°. The inequivalent atoms are Ho at (0.0000, 0.0000, 0.0000), Tl at (0.0000, 0.0000, 0.5000) and Sn at (0.0000, 0.0000, 0.2502).

***

ii) Density functional theory data (GGA-PBE) for crystalline HoTlSn2 at its relaxed geometry.

The value obtained for the density of states at the Fermi level is 0.45 states/eV/atom. The spin magnetization is 0.0 Bohr magnetons per cell. The crystal system is tetragonal.

The structure belongs to space group P4/mmm (No. 123); the cell edges are 4.1604, 4.1604 and 6.3745 Å and the angles 90.00°, 90.00° and 90.00°. The inequivalent atoms are Ho at (0.0000, 0.0000, 0.0000), Tl at (0.0000, 0.0000, 0.5000) and Sn at (0.5000, 0.5000, 0.2345).

***

Of them, i) has the lowest stability.

***

i) Density functional theory data (GGA-PBE) for crystalline HoTm2Sn at its relaxed geometry.

The value obtained for the density of states at the Fermi level is 1.03 states/eV/atom. The spin magnetization is 0.0 Bohr magnetons per cell. The crystal system is tetragonal.

The structure belongs to space group P4/mmm (No. 123); the cell edges are 3.5484, 3.5484 and 9.0687 Å and the angles 90.00°, 90.00° and 90.00°. The inequivalent atoms are Ho at (0.0000, 0.0000, 0.0000), Tm at (0.5000, 0.5000, 0.2698) and Sn at (0.0000, 0.0000, 0.5000).

***

ii) Density functional theory data (GGA-PBE) for crystalline HoTm2Sn at its relaxed geometry.

The value obtained for the density of states at the Fermi level is 1.19 states/eV/atom. The spin magnetization is 0.0 Bohr magnetons per cell. The crystal system is monoclinic.

The structure belongs to space group P2_1/m (No. 11); the cell edges are 6.6937, 5.1165 and 6.7397 Å and the angles 90.00°, 103.75° and 90.00°. The inequivalent atoms are Ho at (0.1280, 0.2500, 0.4107), Tm at (0.1547, 0.2500, 0.9181), Tm at (0.3725, 0.7500, 0.2334) and Sn at (0.3669, 0.7500, 0.7224).

***

Of them, i) has the lowest stability.

***

i) Density functional theory data (GGA-PBE) for crystalline HoTm2Sn at its relaxed geometry.

The value obtained for the density of states at the Fermi level is 1.23 states/eV/atom. The spin magnetization is 0.1 Bohr magnetons per cell. The crystal system is tetragonal.

The structure belongs to space group P4/mmm (No. 123); the cell edges are 4.7623, 4.7623 and 4.7533 Å and the angles 90.00°, 90.00° and 90.00°. The inequivalent atoms are Ho at (0.0000, 0.0000, 0.0000), Tm at (0.0000, 0.5000, 0.5000) and Sn at (0.5000, 0.5000, 0.0000).

***

ii) Density functional theory data (GGA-PBE) for crystalline HoTm2Sn at its relaxed geometry.

The value obtained for the density of states at the Fermi level is 1.35 states/eV/atom. The spin magnetization is 2.4 Bohr magnetons per cell. The crystal system is trigonal.

The structure belongs to space group R-3m (No. 166, hexagonal axes); the cell edges are 3.4397, 3.4397 and 34.9699 Å and the angles 90.00°, 90.00° and 120.00°. The inequivalent atoms are Ho at (0.0000, 0.0000, 0.0000), Tm at (0.0000, 0.0000, 0.0949) and Sn at (0.0000, 0.0000, 0.5000).

***

Of them, ii) has the lowest stability.

***

i) Density functional theory data (GGA-PBE) for crystalline Ho2TmSn at its relaxed geometry.

The value obtained for the density of states at the Fermi level is 1.36 states/eV/atom. The spin magnetization is 2.3 Bohr magnetons per cell. The crystal system is trigonal.

The structure belongs to space group R-3m (No. 166, hexagonal axes); the cell edges are 3.4467, 3.4467 and 35.1225 Å and the angles 90.00°, 90.00° and 120.00°. The inequivalent atoms are Ho at (0.0000, 0.0000, 0.0944), Tm at (0.0000, 0.0000, 0.0000) and Sn at (0.0000, 0.0000, 0.5000).

***

ii) Density functional theory data (GGA-PBE) for crystalline Ho2TmSn at its relaxed geometry.

The value obtained for the density of states at the Fermi level is 1.00 states/eV/atom. The spin magnetization is 0.0 Bohr magnetons per cell. The crystal system is tetragonal.

The structure belongs to space group P4/mmm (No. 123); the cell edges are 3.5477, 3.5477 and 9.1649 Å and the angles 90.00°, 90.00° and 90.00°. The inequivalent atoms are Ho at (0.0000, 0.0000, 0.2306), Tm at (0.5000, 0.5000, 0.5000) and Sn at (0.5000, 0.5000, 0.0000).

***

Of them, i) has the lowest stability.

***

i) Density functional theory data (GGA-PBE) for crystalline Ho2TmSn at its relaxed geometry.

The value obtained for the density of states at the Fermi level is 1.26 states/eV/atom. The spin magnetization is 0.0 Bohr magnetons per cell. The crystal system is orthorhombic.

The structure belongs to space group Pnma (No. 62); the cell edges are 13.0983, 5.1250 and 6.7475 Å and the angles 90.00°, 90.00° and 90.00°. The inequivalent atoms are Ho at (0.0652, 0.2500, 0.1204), Ho at (0.1881, 0.7500, 0.3644), Tm at (0.0740, 0.2500, 0.6199) and Sn at (0.1812, 0.7500, 0.8683).

***

ii) Density functional theory data (GGA-PBE) for crystalline Ho2TmSn at its relaxed geometry.

The value obtained for the density of states at the Fermi level is 1.20 states/eV/atom. The spin magnetization is 0.0 Bohr magnetons per cell. The crystal system is tetragonal.

The structure belongs to space group P4/mmm (No. 123); the cell edges are 4.7695, 4.7695 and 4.7750 Å and the angles 90.00°, 90.00° and 90.00°. The inequivalent atoms are Ho at (0.0000, 0.5000, 0.0000), Tm at (0.0000, 0.0000, 0.5000) and Sn at (0.5000, 0.5000, 0.5000).

***

Of them, i) has the lowest stability.